Entry from Alexandria via LeMat-Bulk: crystalline FeNiNO2 at its relaxed geometry (PBE with a Hubbard U).

```
data_FeNiNO2
_chemical_formula_sum 'Fe1 Ni1 N1 O2'
_symmetry_space_group_name_H-M 'P 4/m m m'
_symmetry_Int_Tables_number 123
_symmetry_space_group_name_Hall '-P 4 2'
_cell_length_a 3.815
_cell_length_b 3.815
_cell_length_c 3.595
_cell_angle_alpha 90.00
_cell_angle_beta 90.00
_cell_angle_gamma 90.00
loop_
_atom_site_label
_atom_site_type_symbol
_atom_site_fract_x
_atom_site_fract_y
_atom_site_fract_z
Fe1 Fe 0.000 0.000 0.000
Ni1 Ni 0.500 0.500 0.500
N1 N 0.500 0.500 0.000
O1 O 0.000 0.500 0.500
```

Results
For the spin magnetization, the calculation gives 6.42 μB/f.u. Its total energy is -24.569 eV for the cell shown. As for the crystal system: tetragonal.

---

Entry from Alexandria via LeMat-Bulk: crystalline FeNiN2O at its relaxed geometry (PBE with a Hubbard U).

```
data_FeNiN2O
_chemical_formula_sum 'Fe1 Ni1 N2 O1'
_symmetry_space_group_name_H-M 'P 4/m m m'
_symmetry_Int_Tables_number 123
_symmetry_space_group_name_Hall '-P 4 2'
_cell_length_a 3.680
_cell_length_b 3.680
_cell_length_c 4.016
_cell_angle_alpha 90.00
_cell_angle_beta 90.00
_cell_angle_gamma 90.00
loop_
_atom_site_label
_atom_site_type_symbol
_atom_site_fract_x
_atom_site_fract_y
_atom_site_fract_z
Fe1 Fe 0.000 0.000 0.000
Ni1 Ni 0.500 0.500 0.500
N1 N 0.000 0.500 0.000
O1 O 0.000 0.000 0.500
```

Results
For the spin magnetization, the calculation gives 0.50 μB/f.u. Its total energy is -24.272 eV for the cell shown. As for the crystal system: tetragonal.

---

Entry from Alexandria via LeMat-Bulk: crystalline FeNiN2O at its relaxed geometry (PBE with a Hubbard U).

```
data_FeNiN2O
_chemical_formula_sum 'Fe1 Ni1 N2 O1'
_symmetry_space_group_name_H-M 'P 4/m m m'
_symmetry_Int_Tables_number 123
_symmetry_space_group_name_Hall '-P 4 2'
_cell_length_a 3.677
_cell_length_b 3.677
_cell_length_c 3.745
_cell_angle_alpha 90.00
_cell_angle_beta 90.00
_cell_angle_gamma 90.00
loop_
_atom_site_label
_atom_site_type_symbol
_atom_site_fract_x
_atom_site_fract_y
_atom_site_fract_z
Fe1 Fe 0.000 0.000 0.000
Ni1 Ni 0.500 0.500 0.500
N1 N 0.000 0.500 0.500
O1 O 0.500 0.500 0.000
```

Results
For the spin magnetization, the calculation gives 5.74 μB/f.u. Its total energy is -23.842 eV for the cell shown. As for the crystal system: tetragonal.

---

Entry from Alexandria via LeMat-Bulk: crystalline FeNiNO2 at its relaxed geometry (PBE with a Hubbard U).

```
data_FeNiNO2
_chemical_formula_sum 'Fe1 Ni1 N1 O2'
_symmetry_space_group_name_H-M 'P 4/m m m'
_symmetry_Int_Tables_number 123
_symmetry_space_group_name_Hall '-P 4 2'
_cell_length_a 3.860
_cell_length_b 3.860
_cell_length_c 3.601
_cell_angle_alpha 90.00
_cell_angle_beta 90.00
_cell_angle_gamma 90.00
loop_
_atom_site_label
_atom_site_type_symbol
_atom_site_fract_x
_atom_site_fract_y
_atom_site_fract_z
Fe1 Fe 0.000 0.000 0.000
Ni1 Ni 0.500 0.500 0.500
N1 N 0.000 0.000 0.500
O1 O 0.000 0.500 0.000
```

Results
For the spin magnetization, the calculation gives 1.01 μB/f.u. Its total energy is -23.864 eV for the cell shown. As for the crystal system: tetragonal.